# LiCoGeF6 (PBE with a Hubbard U, optimized geometry)
data_LiCoGeF6
_space_group_name_H-M_alt 'P -3 1 c'
_space_group_IT_number 163
_space_group_name_Hall '-P 3 2c'
_cell_length_a 5.3909
_cell_length_b 5.3909
_cell_length_c 8.8179
_cell_angle_alpha 90.00
_cell_angle_beta 90.00
_cell_angle_gamma 120.00
loop_
_atom_site_label
_atom_site_type_symbol
_atom_site_fract_x
_atom_site_fract_y
_atom_site_fract_z
Li1 Li 0.0000 0.0000 0.0000
Co1 Co 0.3333 0.6667 0.2500
Ge1 Ge 0.3333 0.6667 0.7500
F1 F 0.0526 0.3725 0.1295
# final energy: -4.623 eV per atom
# crystal system: trigonal